# 1
Ba2HgSbTe5 after structural relaxation, computed with GGA-PBE.

```
18
Lattice="2.347 -11.337 0.000 2.347 11.337 0.000 0.000 0.000 12.653" Properties=species:S:1:pos:R:3 pbc="T T T"
Ba 2.347 8.771 6.327
Ba 2.347 8.740 11.586
Ba 2.347 -8.740 5.259
Ba 2.347 -8.771 0.000
Hg 2.347 1.063 8.032
Hg 2.347 -1.063 1.706
Sb 2.347 5.948 2.555
Sb 2.347 -5.948 8.881
Te 2.347 9.182 2.791
Te 2.347 5.238 6.818
Te 2.347 5.204 10.936
Te 2.347 3.014 2.623
Te 2.347 0.059 11.832
Te 2.347 -0.059 5.505
Te 2.347 -3.014 8.950
Te 2.347 -5.204 4.609
Te 2.347 -5.238 0.491
Te 2.347 -9.182 9.118
```

- symmetry = No. 36
- raw formation energy (meV/atom) = -829
- total moment (μB/f.u.) = 0.0
- VASP energy (eV per atom) = -3.49



# 2
Cs2RbHg3F12 after structural relaxation, computed with GGA-PBE.

```
18
Lattice="4.256 2.457 6.176 -4.256 2.457 6.176 0.000 -4.914 6.176" Properties=species:S:1:pos:R:3 pbc="T T T"
Cs 0.000 0.000 2.084
Cs 0.000 0.000 16.444
Rb 0.000 0.000 9.264
Hg -2.128 -1.229 6.176
Hg -2.128 1.229 12.352
Hg 0.000 2.457 6.176
F -2.406 -1.389 8.216
F 0.000 -1.946 6.556
F -1.686 0.973 6.556
F 0.000 -2.778 10.312
F -2.406 1.389 10.312
F -1.686 -0.973 11.972
F 1.686 0.973 6.556
F 2.406 -1.389 8.216
F 0.000 2.778 8.216
F 1.686 -0.973 11.972
F 0.000 1.946 11.972
F 2.406 1.389 10.312
```

- symmetry = No. 166
- raw formation energy (meV/atom) = -1743
- total moment (μB/f.u.) = 1.0
- VASP energy (eV per atom) = -3.19



# 3
Pm2LuTl after structural relaxation, computed with GGA-PBE.

```
4
Lattice="4.862 0.000 0.000 0.000 4.862 0.000 0.000 0.000 4.969" Properties=species:S:1:pos:R:3 pbc="T T T"
Pm 0.000 2.431 0.000
Pm 2.431 0.000 0.000
Lu 0.000 0.000 2.484
Tl 2.431 2.431 2.484
```

- energy of formation from the pure elements (eV/atom) = -0.18
- symmetry = No. 123
- total moment (μB/f.u.) = 0.1
- VASP energy (eV per atom) = -4.28
- energy above the most stable polymorph in this dataset (meV per atom) = 0